Record 1
Compound: KLiSe
Source: Alexandria via LeMat-Bulk
Functional: PBE
Structure: relaxed

The structure in POSCAR format:
```
KLiSe
1.0
5.252 -0.002 -0.001
1.582 5.009 0.001
-3.411 -2.511 3.105
K Li Se
1 1 1
direct
0.010 0.010 0.000 K
0.346 0.346 0.000 Li
0.644 0.644 0.000 Se
```

Values from the calculation:
**Volume**: 27.2 A^3/atom
**Space group**: No. 44
**DFT total energy**: -2.9868 eV per atom

=====

Record 2
Compound: Cs3ZrO4
Source: Alexandria via LeMat-Bulk
Functional: PBE
Structure: relaxed

The structure in POSCAR format:
```
Cs3ZrO4
1.0
6.877 0.023 0.026
-3.367 5.997 -0.026
-3.024 -2.270 5.744
Cs Zr O
3 1 4
direct
0.529 0.232 0.760 Cs
0.062 0.000 0.062 Cs
0.529 0.768 0.297 Cs
0.007 0.500 0.507 Zr
0.158 0.678 0.836 O
0.158 0.322 0.480 O
0.618 0.263 0.355 O
0.092 0.737 0.355 O
```

Values from the calculation:
**Volume**: 29.7 A^3/atom
**Space group**: No. 44
**DFT total energy**: -5.7505 eV per atom